No. 1
# Tl2InHg

A geometry-optimized Tl2InHg structure (PBE, Alexandria via LeMat-Bulk).

Summary:
Formation energy: 0.05 eV per formula unit
VASP energy: -1.9301 eV/atom
Magnetization: 0.0 Bohr magnetons per cell
Space-group type: R3m, No. 160

a b c (Å): 3.4768 3.4768 11.2956
angles (deg): 81.15 81.15 60.00
Closest atoms and distances in Å follow each position.
Element x y z (fractional)
1 Tl 0.0837 0.0837 0.7489  3 In 3.43, 3 Hg 3.44, 6 Tl 3.48
2 Tl 0.2492 0.2492 0.2522  3 In 3.40, 3 Hg 3.45, 6 Tl 3.48
3 In 0.5003 0.5003 0.4991  6 Tl 3.40-3.43, 6 In 3.48
4 Hg 0.6668 0.6668 0.9997  6 Tl 3.44-3.45, 6 Hg 3.48


No. 2
# Tl3In3Hg5

A geometry-optimized Tl3In3Hg5 structure (PBE, Alexandria via LeMat-Bulk).

Summary:
Formation energy: 0.76 eV per formula unit
VASP energy: -1.4600 eV/atom
Magnetization: 0.0 Bohr magnetons per cell
Space-group type: P-62m, No. 189

a b c (Å): 3.4936 10.4628 10.4628
angles (deg): 120.00 90.00 90.00
Closest atoms and distances in Å follow each position.
Element x y z (fractional)
1 Tl 0.0000 0.4126 0.4126  2 Hg 3.10, 2 In 3.20
2 Tl 0.0000 0.5874 0.0000  2 Hg 3.10, 2 In 3.20
3 Tl 0.0000 0.0000 0.5874  2 Hg 3.10, 2 In 3.20
4 In 0.5000 0.6683 0.6683  2 Hg 3.01, 2 Tl 3.20
5 In 0.5000 0.0000 0.3317  2 Hg 3.01, 2 Tl 3.20
6 In 0.5000 0.3317 0.0000  2 Hg 3.01, 2 Tl 3.20
7 Hg 0.5000 0.3333 0.6667  2 Hg 3.49, 3 In 3.50, 6 Tl 3.61
8 Hg 0.5000 0.6667 0.3333  2 Hg 3.49, 3 In 3.50, 6 Tl 3.61
9 Hg 0.5000 0.1678 0.1678  2 In 3.01, 2 Hg 3.04, 2 Tl 3.10
10 Hg 0.5000 0.0000 0.8322  2 In 3.01, 2 Hg 3.04, 2 Tl 3.10
11 Hg 0.5000 0.8322 0.0000  2 In 3.01, 2 Hg 3.04, 2 Tl 3.10


No. 3
# Tl7InHg3

A geometry-optimized Tl7InHg3 structure (PBE, Alexandria via LeMat-Bulk).

Summary:
Formation energy: 0.40 eV per formula unit
VASP energy: -1.8004 eV/atom
Magnetization: 0.0 Bohr magnetons per cell
Space-group type: P3m1, No. 156

a b c (Å): 7.7129 7.1142 7.1142
angles (deg): 120.00 90.00 90.00
Closest atoms and distances in Å follow each position.
Element x y z (fractional)
1 Tl 0.0957 0.1611 0.8389  2 Hg 3.19, 1 In 3.38, 6 Tl 3.44-3.56
2 Tl 0.0957 0.1611 0.3222  2 Hg 3.19, 1 In 3.38, 6 Tl 3.44-3.56
3 Tl 0.1237 0.6667 0.3333  3 Hg 3.38, 9 Tl 3.45-3.56
4 Tl 0.4755 0.8400 0.1600  2 Hg 3.17, 5 Tl 3.42-3.53
5 Tl 0.4755 0.3200 0.1600  2 Hg 3.17, 5 Tl 3.42-3.53
6 Tl 0.4755 0.8400 0.6800  2 Hg 3.17, 5 Tl 3.42-3.53
7 Tl 0.0957 0.6778 0.8389  2 Hg 3.19, 1 In 3.38, 6 Tl 3.44-3.56
8 In 0.4368 0.3333 0.6667  3 Hg 3.32, 9 Tl 3.38-3.57
9 Hg 0.7803 0.4958 0.5042  5 Tl 3.17-3.38, 1 In 3.32, 2 Hg 3.47
10 Hg 0.7803 0.4958 0.9915  5 Tl 3.17-3.38, 1 In 3.32, 2 Hg 3.47
11 Hg 0.7803 0.0084 0.5042  5 Tl 3.17-3.38, 1 In 3.32, 2 Hg 3.47